Record 1
Here is a geometry-optimized Rb4Np3PaSe8 structure from Alexandria. Energies are from PBE.

Values from the calculation:
Final energy, eV/cell: -100.3

a b c (Å): 8.536 9.433 8.536
angles (deg): 116.92 120.00 90.00
Element x y z (fractional)
Rb  0.500  0.000  0.000
Rb  0.500  0.000  0.500
Rb  0.000  0.000  0.000
Rb  0.000  0.000  0.500
Np  0.500  0.500  0.000
Np  0.500  0.500  0.500
Np  0.000  0.500  0.500
Pa  0.000  0.500  0.000
Se  0.230  0.698  0.968
Se  0.230  0.698  0.460
Se  0.268  0.303  0.536
Se  0.738  0.698  0.968
Se  0.262  0.302  0.032
Se  0.732  0.697  0.464
Se  0.770  0.302  0.540
Se  0.770  0.302  0.032


Record 2
Here is a geometry-optimized LiSm2Ag structure from Alexandria. Energies are from PBE.

Values from the calculation:
DFT formation energy, eV per atom: -0.081

a b c (Å): 3.788 5.223 5.223
angles (deg): 90.00 90.00 90.00
Element x y z (fractional)
Ag  0.500  0.000  0.000
Sm  0.000  0.000  0.500
Sm  0.000  0.500  0.000
Li  0.500  0.500  0.500


Record 3
Here is a geometry-optimized Na2TiHgS4 structure from Alexandria. Energies are from PBE.

Values from the calculation:
Final energy, eV/cell: -34.8

a b c (Å): 5.752 5.752 7.593
angles (deg): 112.25 112.25 90.01
Element x y z (fractional)
Na  0.750  0.250  0.500
Na  0.250  0.750  0.500
Ti  0.500  0.500  0.000
Hg  0.000  0.000  0.001
S  0.620  0.620  0.788
S  0.381  0.831  0.212
S  0.831  0.381  0.212
S  0.168  0.168  0.788


Record 4
Here is a geometry-optimized GdTmTlCo structure from Alexandria. Energies are from PBE.

Values from the calculation:
DFT formation energy, eV per atom: -0.120

a b c (Å): 5.098 5.098 5.098
angles (deg): 60.00 60.00 60.00
Element x y z (fractional)
Gd  0.250  0.250  0.250
Tl  0.500  0.500  0.500
Tm  0.750  0.750  0.750
Co  0.000  0.000  0.000


Record 5
Here is a geometry-optimized Zr12CoSn6 structure from Alexandria. Energies are from PBE.

Values from the calculation:
DFT formation energy, eV per atom: -0.098

a b c (Å): 7.906 7.906 7.906
angles (deg): 100.00 100.00 100.00
Element x y z (fractional)
Zr  0.792  0.593  0.474
Zr  0.474  0.792  0.593
Zr  0.593  0.474  0.792
Zr  0.208  0.407  0.526
Zr  0.526  0.208  0.407
Zr  0.407  0.526  0.208
Zr  0.060  0.018  0.318
Zr  0.982  0.682  0.940
Zr  0.682  0.940  0.982
Zr  0.940  0.982  0.682
Zr  0.018  0.318  0.060
Zr  0.318  0.060  0.018
Co  0.000  0.000  0.000
Sn  0.674  0.887  0.333
Sn  0.667  0.326  0.113
Sn  0.113  0.667  0.326
Sn  0.326  0.113  0.667
Sn  0.333  0.674  0.887
Sn  0.887  0.333  0.674


Record 6
Here is a geometry-optimized YTl3C structure from Alexandria. Energies are from PBE.

Values from the calculation:
DFT formation energy, eV per atom: 0.873

a b c (Å): 5.009 5.009 5.009
angles (deg): 90.00 90.00 90.00
Element x y z (fractional)
Y  0.500  0.500  0.500
Tl  0.000  0.500  0.000
Tl  0.000  0.000  0.500
Tl  0.500  0.000  0.000
C  0.000  0.000  0.000


Record 7
Here is a geometry-optimized ZrTiInRe structure from Alexandria. Energies are from PBE.

Values from the calculation:
DFT formation energy, eV per atom: -0.128

a b c (Å): 4.711 4.711 4.711
angles (deg): 60.00 60.00 60.00
Element x y z (fractional)
Re  0.500  0.500  0.500
Ti  0.250  0.250  0.250
Zr  0.750  0.750  0.750
In  0.000  0.000  0.000


Record 8
Here is a geometry-optimized Pu2MnSi4Pt3 structure from Alexandria. Energies are from PBE.

Values from the calculation:
Final energy, eV/cell: -85.6

a b c (Å): 4.175 4.175 9.968
angles (deg): 90.00 90.00 90.00
Element x y z (fractional)
Pu  0.500  0.000  0.251
Pu  0.000  0.500  0.749
Mn  0.500  0.500  0.500
Si  0.500  0.500  0.000
Si  0.000  0.000  0.000
Si  0.500  0.000  0.634
Si  0.000  0.500  0.366
Pt  0.000  0.000  0.500
Pt  0.500  0.000  0.876
Pt  0.000  0.500  0.124